Computed, not measured: MnIO2F after structural relaxation at the PBE with a Hubbard U level of DFT.

Calculated volume in Å³/cell: 83.0
E_tot in eV/atom: -3.687

abc: 4.4794 4.4794 4.1366
angles: 90.00 90.00 90.00
Fractional coordinates of all 5 atoms:
Mn  0.0000  0.0000  0.0000
I  0.5000  0.5000  0.0000
O  0.0000  0.5000  0.5000
O  0.5000  0.0000  0.5000
F  0.5000  0.5000  0.5000